Entry 1:
The following is a GGA-PBE calculation of a geometry-optimized Cs2PmBr6 structure, from Alexandria via LeMat-Bulk.

a = 4.666 Å, b = 9.146 Å, c = 9.155 Å
α = 119.96°, β = 90.00°, γ = 90.00°
Site moments in Bohr magnetons follow the coordinates.
Sites, in units of the cell vectors:
Br (0.500, 0.334, 0.335)  0.14
Br (0.500, 0.000, 0.665)  0.14
Br (0.000, 0.776, 0.776)  0.14
Br (0.000, 0.000, 0.224)  0.14
Br (0.500, 0.666, 0.000)  0.14
Br (0.000, 0.224, 0.000)  0.13
Cs (0.000, 0.333, 0.666)  0.00
Cs (0.000, 0.667, 0.334)  0.00
Pm (0.500, 0.000, 0.000)  -0.01

Output
The calculation puts the raw formation energy at -1353 kJ/mol of formula units. Its space-group type is Amm2, No. 38. Its crystal system is orthorhombic.

Entry 2:
The following is a GGA-PBE calculation of a geometry-optimized BeZnTc2 structure, from Alexandria via LeMat-Bulk.

a = 4.161 Å, b = 4.161 Å, c = 2.960 Å
α = 90.00°, β = 90.00°, γ = 90.00°
Sites, in units of the cell vectors:
Tc (0.000, 0.000, 0.000)
Tc (0.500, 0.500, 0.000)
Zn (0.500, 0.000, 0.500)
Be (0.000, 0.500, 0.500)

Output
The calculation puts the energy relative to the elements at 248 meV per atom. Its space-group type is P4/mmm, No. 123. Its crystal system is tetragonal.

Entry 3:
The following is a GGA-PBE calculation of a geometry-optimized TbDy2Tl structure, from Alexandria via LeMat-Bulk.

a = 5.468 Å, b = 5.468 Å, c = 5.468 Å
α = 60.00°, β = 60.00°, γ = 60.00°
Site moments in Bohr magnetons follow the coordinates.
Sites, in units of the cell vectors:
Dy (0.750, 0.750, 0.750)  0.35
Dy (0.250, 0.250, 0.250)  0.35
Tb (0.000, 0.000, 0.000)  0.44
Tl (0.500, 0.500, 0.500)  0.01

Output
The calculation puts the energy relative to the elements at -21 meV per atom. Its space-group type is Fm-3m, No. 225. Its crystal system is cubic.

Entry 4:
The following is a GGA-PBE calculation of a geometry-optimized La2GeP structure, from Alexandria via LeMat-Bulk.

a = 4.174 Å, b = 4.417 Å, c = 12.204 Å
α = 100.43°, β = 90.00°, γ = 90.00°
Sites, in units of the cell vectors:
P (0.250, 0.188, 0.376)
P (0.750, 0.812, 0.624)
Ge (0.250, 0.464, 0.928)
Ge (0.750, 0.536, 0.072)
La (0.250, 0.068, 0.136)
La (0.250, 0.310, 0.621)
La (0.750, 0.932, 0.864)
La (0.750, 0.690, 0.379)

Output
The calculation puts the energy relative to the elements at -1217 meV per atom. Its space-group type is Cmcm, No. 63. Its crystal system is orthorhombic.

Energy above the most stable polymorph in this dataset values (in meV per atom) by entry order: 0, 286, 166, 0.
Magnetic moment values (in μB per formula unit) by entry order: 1.08, 0.00, 1.53, 0.00.